1.
This record from Alexandria describes crystalline Nd2Ag3SnTe6 at its relaxed geometry. The functional is GGA-PBE.

Calculated values
The calculation puts the density of states at the Fermi level at 3.74 states/eV/f.u. The calculation puts the formation energy without anion corrections at -0.614 eV per atom. As for the space group: No. 12.

a = 4.381 Å, b = 8.429 Å, c = 10.388 Å
α = 100.75°, β = 102.17°, γ = 90.00°
Element x y z (fractional)
Nd 0.825 0.689 0.650
Nd 0.175 0.311 0.350
Ag 0.500 0.500 0.000
Ag 0.796 0.198 0.592
Ag 0.204 0.802 0.408
Sn 0.500 0.000 0.000
Te 0.341 0.963 0.682
Te 0.665 0.580 0.329
Te 0.659 0.037 0.318
Te 0.012 0.274 0.024
Te 0.988 0.726 0.976
Te 0.335 0.420 0.671



2.
This record from Alexandria describes crystalline La2TcNi2 at its relaxed geometry. The functional is GGA-PBE.

Calculated values
As for the formation energy: 0.0195 eV per atom. The calculation puts the density of states at the Fermi level at 5.78 states/eV/f.u. As for the space group: No. 127.

a = 6.964 Å, b = 6.964 Å, c = 4.202 Å
α = 90.00°, β = 90.00°, γ = 90.00°
Element x y z (fractional)
Ni 0.375 0.875 0.000
Ni 0.875 0.625 0.000
Ni 0.625 0.125 0.000
Ni 0.125 0.375 0.000
Tc 0.000 0.000 0.000
Tc 0.500 0.500 0.000
La 0.185 0.685 0.500
La 0.685 0.815 0.500
La 0.815 0.315 0.500
La 0.315 0.185 0.500